Record 1
Material: GeW
Method: DFT, PBE-GGA
State: optimized geometry

## Properties
Calculated total energy ... -31.39 eV per cell
SG ... P6_3/mmc, No. 194

Cell and atoms, written as POSCAR:
```
GeW
1.0
4.361 0.000 0.000
-2.181 3.777 0.000
0.000 0.000 5.020
Ge W
2 2
Direct
0.333 0.667 0.250 Ge
0.667 0.333 0.750 Ge
0.333 0.667 0.750 W
0.667 0.333 0.250 W
```

Record 2
Material: Zr2TlAu
Method: DFT, PBE-GGA
State: optimized geometry

## Properties
Calculated total energy ... -23.89 eV per cell
SG ... P4/mmm, No. 123

Cell and atoms, written as POSCAR:
```
Zr2TlAu
1.0
3.175 0.000 0.000
0.000 3.175 0.000
0.000 0.000 8.454
Zr Tl Au
2 1 1
Direct
0.000 0.000 0.235 Zr
0.000 0.000 0.765 Zr
0.500 0.500 0.500 Tl
0.500 0.500 0.000 Au
```

Record 3
Material: MgAg6Au3
Method: DFT, PBE-GGA
State: optimized geometry

## Properties
Calculated total energy ... -56.97 eV per cell
SG ... Cmc2_1, No. 36

Cell and atoms, written as POSCAR:
```
MgAg6Au3
1.0
4.937 -7.224 0.000
4.937 7.224 0.000
0.000 0.000 5.287
Mg Ag Au
2 12 6
Direct
0.183 0.817 0.500 Mg
0.817 0.183 0.000 Mg
0.035 0.451 0.724 Ag
0.039 0.961 0.141 Ag
0.271 0.729 0.987 Ag
0.314 0.406 0.898 Ag
0.406 0.314 0.398 Ag
0.451 0.035 0.224 Ag
0.549 0.965 0.724 Ag
0.594 0.686 0.898 Ag
0.686 0.594 0.398 Ag
0.729 0.271 0.487 Ag
0.961 0.039 0.641 Ag
0.965 0.549 0.224 Ag
0.087 0.295 0.288 Au
0.295 0.087 0.788 Au
0.371 0.629 0.465 Au
0.629 0.371 0.965 Au
0.705 0.913 0.288 Au
0.913 0.705 0.788 Au
```

Record 4
Material: Sc2MoCl
Method: DFT, PBE-GGA
State: optimized geometry

## Properties
SG ... Cm, No. 8
Formation energy without anion corrections ... -23 kJ/mol of atoms

Cell and atoms, written as POSCAR:
```
Sc2MoCl
1.0
5.057 -1.583 0.000
5.057 1.583 0.000
-0.002 0.000 4.760
Sc Mo Cl
2 1 1
Direct
0.000 0.000 0.000 Sc
0.712 0.712 0.501 Sc
0.458 0.458 0.500 Mo
0.267 0.267 0.998 Cl
```

Record 5
Material: Ce3Tc2
Method: DFT, PBE-GGA
State: optimized geometry

## Properties
Calculated total energy ... -38.87 eV per cell
SG ... Fmmm, No. 69

Cell and atoms, written as POSCAR:
```
Ce3Tc2
1.0
0.000 2.451 8.795
2.429 0.000 8.795
2.429 2.451 0.000
Ce Tc
3 2
Direct
0.000 0.000 0.000 Ce
0.195 0.195 0.805 Ce
0.805 0.805 0.195 Ce
0.400 0.400 0.600 Tc
0.600 0.600 0.400 Tc
```

Record 6
Material: ScP3Ru
Method: DFT, PBE-GGA
State: optimized geometry

## Properties
Calculated total energy ... -30.64 eV per cell
SG ... Pm-3m, No. 221

Cell and atoms, written as POSCAR:
```
ScP3Ru
1.0
4.597 0.000 0.000
0.000 4.597 0.000
0.000 0.000 4.597
Sc P Ru
1 3 1
Direct
0.000 0.000 0.000 Sc
0.000 0.500 0.500 P
0.500 0.000 0.500 P
0.500 0.500 0.000 P
0.500 0.500 0.500 Ru
```